Entry 1:
Density functional theory data (PBE) for a relaxed BaCuNi2 crystal.

Total energy in eV for the cell shown: -17.63
Crystal system: monoclinic

Cell: 4.180 4.180 5.930 Å, 69.42 69.42 60.00°
Each line ends with the local moment (μB).
Atoms (fractional coordinates):
Ba: 0.500 0.500 0.503  -0.01
Cu: 0.313 0.313 0.059  0.00
Ni: 0.004 0.004 0.988  0.14
Ni: 0.683 0.683 0.950  0.12

***

Entry 2:
Density functional theory data (PBE) for a relaxed BaCu2Ni crystal.

Total energy in eV for the cell shown: -31.00
Crystal system: tetragonal

Cell: 4.733 4.733 8.955 Å, 74.68 74.68 90.00°
Atoms (fractional coordinates):
Cu: 0.875 0.625 0.750
Cu: 0.375 0.625 0.250
Ba: 0.000 0.000 0.000
Ba: 0.750 0.250 0.500
Cu: 0.375 0.625 0.750
Cu: 0.375 0.125 0.250
Ni: 0.500 0.500 0.000
Ni: 0.250 0.750 0.500

***

Entry 3:
Density functional theory data (PBE) for a relaxed BaCuNi3 crystal.

Total energy in eV for the cell shown: -20.87
Crystal system: cubic

Cell: 4.549 4.549 4.549 Å, 90.00 90.00 90.00°
Atoms (fractional coordinates):
Ni: 0.000 0.000 0.500
Ni: 0.500 0.000 0.000
Cu: 0.000 0.000 0.000
Ba: 0.500 0.500 0.500
Ni: 0.000 0.500 0.000

***

Entry 4:
Density functional theory data (PBE) for a relaxed Ba2CuNi2 crystal.

Total energy in eV for the cell shown: -36.68
Crystal system: tetragonal

Cell: 7.522 7.522 4.429 Å, 90.00 90.00 90.00°
Atoms (fractional coordinates):
Ni: 0.110 0.390 0.000
Ni: 0.890 0.610 0.000
Cu: 0.000 0.000 0.000
Cu: 0.500 0.500 0.000
Ba: 0.187 0.687 0.500
Ba: 0.687 0.813 0.500
Ba: 0.313 0.187 0.500
Ni: 0.390 0.890 0.000
Ni: 0.610 0.110 0.000
Ba: 0.813 0.313 0.500

***

Entry 5:
Density functional theory data (PBE) for a relaxed Ba2CuNi crystal.

Total energy in eV for the cell shown: -12.87
Crystal system: tetragonal

Cell: 4.585 4.585 6.447 Å, 90.00 90.00 90.00°
Atoms (fractional coordinates):
Ba: 0.500 0.500 0.375
Cu: 0.000 0.000 0.376
Ba: 0.000 0.000 0.876
Ni: 0.500 0.500 0.873

***

Entry 6:
Density functional theory data (PBE) for a relaxed Ba2CuNi crystal.

Total energy in eV for the cell shown: -12.48
Crystal system: tetragonal

Cell: 6.617 6.617 6.617 Å, 140.22 140.22 57.52°
Atoms (fractional coordinates):
Cu: 0.500 0.500 0.000
Ni: 0.750 0.250 0.500
Ba: 0.000 0.000 0.000
Ba: 0.250 0.750 0.500

***

Entry 7:
Density functional theory data (PBE) for a relaxed Ba2Cu2Ni crystal.

Total energy in eV for the cell shown: -33.24
Crystal system: tetragonal

Cell: 7.673 7.673 4.498 Å, 90.00 90.00 90.00°
Atoms (fractional coordinates):
Ni: 0.000 0.000 0.000
Cu: 0.114 0.386 0.000
Ba: 0.312 0.188 0.500
Ba: 0.812 0.312 0.500
Cu: 0.386 0.886 0.000
Cu: 0.614 0.114 0.000
Cu: 0.886 0.614 0.000
Ni: 0.500 0.500 0.000
Ba: 0.188 0.688 0.500
Ba: 0.688 0.812 0.500

***

Entry 8:
Density functional theory data (PBE) for a relaxed Ba2CuNi crystal.

Total energy in eV for the cell shown: -24.52
Crystal system: tetragonal

Cell: 8.279 8.279 7.045 Å, 54.02 54.02 90.00°
Atoms (fractional coordinates):
Ba: 0.604 0.125 0.250
Ba: 0.146 0.625 0.250
Cu: 0.000 0.000 0.000
Ba: 0.375 0.396 0.750
Ni: 0.500 0.500 0.000
Ba: 0.875 0.854 0.750
Cu: 0.750 0.250 0.500
Ni: 0.250 0.750 0.500

***

Entry 9:
Density functional theory data (PBE) for a relaxed Ba2CuNi crystal.

Total energy in eV for the cell shown: -13.13
Crystal system: tetragonal

Cell: 3.892 5.469 5.469 Å, 90.00 90.00 90.00°
Atoms (fractional coordinates):
Ni: 0.500 0.500 0.500
Ba: 0.000 0.500 0.000
Cu: 0.500 0.000 0.000
Ba: 0.000 0.000 0.500

***

Entry 10:
Density functional theory data (PBE) for a relaxed BaCuNi2 crystal.

Total energy in eV for the cell shown: -15.31
Crystal system: tetragonal

Cell: 4.286 4.287 3.921 Å, 90.00 90.00 90.00°
Atoms (fractional coordinates):
Ni: 0.000 0.000 0.000
Ba: 0.500 0.000 0.500
Cu: 0.000 0.500 0.500
Ni: 0.500 0.500 0.000

***

Entry 11:
Density functional theory data (PBE) for a relaxed Ba2CuNi crystal.

Total energy in eV for the cell shown: -13.85
Crystal system: trigonal

Cell: 4.383 4.383 8.727 Å, 75.46 75.46 60.00°
Atoms (fractional coordinates):
Ni: 0.057 0.057 0.829
Cu: 0.724 0.724 0.829
Ba: 0.473 0.473 0.582
Ba: 0.308 0.308 0.076

***

Entry 12:
Density functional theory data (PBE) for a relaxed BaCu2Ni crystal.

Total energy in eV for the cell shown: -13.69
Crystal system: cubic

Cell: 4.888 4.888 4.888 Å, 60.00 60.00 60.00°
Atoms (fractional coordinates):
Ba: 0.500 0.500 0.500
Ni: 0.000 0.000 0.000
Cu: 0.250 0.250 0.250
Cu: 0.750 0.750 0.750

***

Entry 13:
Density functional theory data (PBE) for a relaxed BaCuNi2 crystal.

Total energy in eV for the cell shown: -17.66
Crystal system: monoclinic

Cell: 4.205 4.205 5.904 Å, 68.90 68.90 60.02°
Atoms (fractional coordinates):
Ni: 0.931 0.931 0.208
Ni: 0.569 0.569 0.292
Ba: 0.750 0.750 0.750
Cu: 0.250 0.250 0.250

***

Entry 14:
Density functional theory data (PBE) for a relaxed Ba2Cu2Ni crystal.

Total energy in eV for the cell shown: -17.74
Crystal system: trigonal

Cell: 4.251 4.251 9.875 Å, 77.57 77.57 60.00°
Atoms (fractional coordinates):
Ba: 0.575 0.575 0.276
Cu: 0.681 0.681 0.958
Ni: 0.000 0.000 0.000
Cu: 0.319 0.319 0.042
Ba: 0.425 0.425 0.724

***

Entry 15:
Density functional theory data (PBE) for a relaxed BaCu2Ni crystal.

Total energy in eV for the cell shown: -13.63
Crystal system: tetragonal

Cell: 4.662 4.102 4.102 Å, 90.00 90.00 90.00°
Atoms (fractional coordinates):
Ni: 0.500 0.500 0.000
Cu: 0.000 0.500 0.500
Cu: 0.000 0.000 0.000
Ba: 0.500 0.000 0.500

***

Entry 16:
Density functional theory data (PBE) for a relaxed BaCuNi2 crystal.

Total energy in eV for the cell shown: -15.95
Crystal system: orthorhombic

Cell: 3.310 3.158 6.899 Å, 90.00 90.00 90.00°
Atoms (fractional coordinates):
Ni: 0.000 0.000 0.918
Ni: 0.000 0.000 0.582
Cu: 0.500 0.500 0.750
Ba: 0.500 0.500 0.250

***

Entry 17:
Density functional theory data (PBE) for a relaxed BaCuNi2 crystal.

Total energy in eV for the cell shown: -16.66
Crystal system: monoclinic

Cell: 4.139 4.499 4.883 Å, 84.57 90.00 90.00°
Each line ends with the local moment (μB).
Atoms (fractional coordinates):
Ni: 0.000 0.001 0.799  0.23
Ba: 0.500 0.250 0.250  -0.01
Ni: 0.000 0.499 0.701  0.23
Cu: 0.500 0.750 0.750  0.03

***

Entry 18:
Density functional theory data (PBE) for a relaxed BaCu2Ni2 crystal.

Total energy in eV for the cell shown: -20.86
Crystal system: monoclinic

Cell: 4.287 4.287 5.652 Å, 108.84 108.84 92.98°
Atoms (fractional coordinates):
Cu: 0.390 0.390 0.221
Ni: 0.789 0.211 0.000
Ba: 0.000 0.000 0.500
Cu: 0.610 0.610 0.779
Ni: 0.211 0.789 0.000

***

Entry 19:
Density functional theory data (PBE) for a relaxed BaCuNi2 crystal.

Total energy in eV for the cell shown: -16.71
Crystal system: monoclinic

Cell: 4.096 4.621 4.821 Å, 84.32 90.00 90.00°
Atoms (fractional coordinates):
Ni: 0.000 0.019 0.011
Ba: 0.000 0.482 0.498
Ni: 0.500 0.249 0.024
Cu: 0.500 0.751 0.967

***

Entry 20:
Density functional theory data (PBE) for a relaxed BaCu2Ni crystal.

Total energy in eV for the cell shown: -15.25
Crystal system: monoclinic

Cell: 4.190 4.752 4.706 Å, 89.07 90.00 90.00°
Atoms (fractional coordinates):
Ba: 0.500 0.736 0.749
Ni: 0.000 0.505 0.258
Cu: 0.000 0.999 0.241
Cu: 0.500 0.260 0.252